SI3O4 | GGA-PBE | optimized geometry

Unit cell a=6.482 b=9.066 c=7.468 alpha=90.00 beta=90.00 gamma=90.00
Space group Imm2 (No. 44)
Symmetry-distinct sites (fractional):
S: 0.000 0.000 0.000 (multiplicity 2)
I: 0.000 0.500 0.762 (multiplicity 2)
I: 0.243 0.500 0.088 (multiplicity 4)
O: 0.000 0.136 0.104 (multiplicity 4)
O: 0.193 0.000 0.876 (multiplicity 4)

Properties
The total energy is -4.091 eV/atom. For the uncorrected formation energy, the calculation gives -515 meV per atom.